The following is a DFT calculation (GGA-PBE) of a relaxed structure of LiLaSc.

Unit cell a=8.8060 b=8.5380 c=3.3207 alpha=83.54 beta=74.45 gamma=22.01
With the nearest neighbours (Å) after each atom.
Element x y z (fractional)
1 Sc 0.6720 0.6720 0.3280  2 Li 3.12, 4 Sc 3.32, 2 La 3.35
2 Li 0.3256 0.3256 0.6744  2 Sc 3.12, 4 Li 3.32, 2 La 3.45
3 La 0.0024 0.0024 0.9976  6 La 3.32-3.57, 2 Sc 3.35, 2 Li 3.45

Size of the total moment   0.00 μB/f.u.
Raw total energy   -4.198 eV per atom
DFT formation energy   18.6 kJ/mol of atoms
E above lowest polymorph   89 meV per atom